(1)
Pr2DyZn3: relaxed, PBE-GGA.

a b c (Å): 5.174 5.174 6.364
angles (deg): 90.00 90.00 120.00
Fractional positions:
Pr: 0.333 0.667 0.175
Pr: 0.667 0.333 0.825
Dy: 0.000 0.000 0.500
Zn: 0.000 0.000 0.000
Zn: 0.333 0.667 0.663
Zn: 0.667 0.333 0.337

Calculated values
* calculated total energy: -19.840 eV per cell


(2)
Pr2DyZn9: relaxed, PBE-GGA.

a b c (Å): 9.333 9.333 9.333
angles (deg): 34.30 34.30 34.30
Fractional positions:
Pr: 0.140 0.140 0.140
Pr: 0.860 0.860 0.860
Dy: 0.000 0.000 0.000
Zn: 0.076 0.581 0.581
Zn: 0.335 0.335 0.335
Zn: 0.419 0.419 0.924
Zn: 0.419 0.924 0.419
Zn: 0.500 0.500 0.500
Zn: 0.581 0.076 0.581
Zn: 0.581 0.581 0.076
Zn: 0.665 0.665 0.665
Zn: 0.924 0.419 0.419

Calculated values
* calculated total energy: -29.022 eV per cell